# 1
Compound: ReHgAs2
Source: Alexandria via LeMat-Bulk
Functional: GGA-PBE
Structure: optimized geometry

The structure belongs to space group Pm (No. 6); the cell edges are 3.0757, 3.1309 and 9.3161 Å and the angles 90.00°, 98.52° and 90.00°. Symmetry generates all atoms from Re at (0.0000, 0.0000, 0.0000), Hg at (0.2457, 0.5000, 0.5119), As at (0.4339, 0.5000, 0.8530) and As at (0.5948, 0.0000, 0.2110).

The calculation puts the formation energy from the elements at 190 meV/atom. The calculation puts the theoretical density at 10.044 Mg/m³. The calculation puts the total energy at -21.29 eV for the cell shown. Its volume is 22.18 Å³/atom. As for the crystal system: monoclinic.

***

# 2
Compound: Tb2SmEr4Tm
Source: Alexandria via LeMat-Bulk
Functional: GGA-PBE
Structure: optimized geometry

The structure belongs to space group P4/mmm (No. 123); the cell edges are 4.9920, 4.9920 and 9.9868 Å and the angles 90.00°, 90.00° and 90.00°. Symmetry generates all atoms from Tb at (0.0000, 0.0000, 0.0000), Tb at (0.5000, 0.5000, 0.5000), Sm at (0.0000, 0.0000, 0.5000), Er at (0.0000, 0.5000, 0.2480) and Tm at (0.5000, 0.5000, 0.0000).

The calculation puts the formation energy from the elements at 21 meV/atom. The calculation puts the theoretical density at 8.715 Mg/m³. The calculation puts the total energy at -36.53 eV for the cell shown. Its volume is 31.11 Å³/atom. As for the crystal system: tetragonal.

***

# 3
Compound: PaNiAs2
Source: Alexandria via LeMat-Bulk
Functional: GGA-PBE
Structure: optimized geometry

The structure belongs to space group R-3m (No. 166, hexagonal axes); the cell edges are 4.3233, 4.3233 and 21.7391 Å and the angles 90.00°, 90.00° and 120.00°. Symmetry generates all atoms from Pa at (0.0000, 0.0000, 0.0000), Ni at (0.0000, 0.0000, 0.5000) and As at (0.0000, 0.0000, 0.3963).

The energy above the lowest structure with this stoichiometry comes out at 79.8 kJ/mol of atoms. The calculation puts the formation energy from the elements at 3 meV/atom. The calculation puts the theoretical density at 6.223 Mg/m³. The calculation puts the total energy at -73.69 eV for the cell shown. Its volume is 29.32 Å³/atom. As for the crystal system: trigonal.

***

# 4
Compound: AgAsBr4
Source: Alexandria via LeMat-Bulk
Functional: GGA-PBE
Structure: optimized geometry

The structure belongs to space group C2/c (No. 15); the cell edges are 8.0210, 17.2650 and 6.9169 Å and the angles 90.00°, 124.58° and 90.00°. Symmetry generates all atoms from Ag at (0.0000, 0.0702, 0.2500), As at (0.0000, 0.4272, 0.7500), Br at (0.2209, 0.3294, 0.7412) and Br at (0.2442, 0.4453, 0.2243).

The energy above the lowest structure with this stoichiometry comes out at 0.0 kJ/mol of atoms. The calculation puts the theoretical density at 4.231 Mg/m³. The calculation puts the total energy at -65.87 eV for the cell shown. Its volume is 32.86 Å³/atom. The uncorrected formation energy is -0.38 eV per atom. As for the crystal system: monoclinic.

***

# 5
Compound: U2Cr2Se7
Source: Alexandria via LeMat-Bulk
Functional: GGA-PBE
Structure: optimized geometry

The structure belongs to space group Fd-3m (No. 227, origin choice 2); the cell edges are 12.7812, 12.7812 and 12.7812 Å and the angles 90.00°, 90.00° and 90.00°. Symmetry generates all atoms from U at (0.0000, 0.0000, 0.0000), Cr at (0.0000, 0.0000, 0.5000), Se at (0.0916, 0.3750, 0.8750) and Se at (0.1250, 0.1250, 0.1250).

The calculation puts the theoretical density at 7.207 Mg/m³. The calculation puts the total energy at -597.55 eV for the cell shown. Its volume is 23.73 Å³/atom. The uncorrected formation energy is -0.77 eV per atom. As for the crystal system: cubic.

***

# 6
Compound: Zn2RuCl
Source: Alexandria via LeMat-Bulk
Functional: GGA-PBE
Structure: optimized geometry

The structure belongs to space group R-3m (No. 166, hexagonal axes); the cell edges are 3.1191, 3.1191 and 23.3525 Å and the angles 90.00°, 90.00° and 120.00°. Symmetry generates all atoms from Zn at (0.0000, 0.0000, 0.2463), Ru at (0.0000, 0.0000, 0.5000) and Cl at (0.0000, 0.0000, 0.0000).

The energy above the lowest structure with this stoichiometry comes out at 7.6 kJ/mol of atoms. The calculation puts the theoretical density at 6.769 Mg/m³. The calculation puts the total energy at -40.90 eV for the cell shown. Its volume is 16.40 Å³/atom. The uncorrected formation energy is 0.01 eV per atom. As for the crystal system: trigonal.